Record 1
This record from Alexandria via LeMat-Bulk describes a geometry-optimized YTlBrF2 structure. The functional is PBE.

abc: 4.668 6.234 4.668
angles: 90.00 90.00 90.00
Sites, in units of the cell vectors:
Y 0.500 0.500 0.500
Tl 0.000 0.000 0.000
Br 0.000 0.500 0.000
F 0.000 0.000 0.500
F 0.500 0.000 0.000

## Properties
As for the crystal system: tetragonal. Its raw formation energy is -1.124 eV/atom. The value obtained for the density of states at the Fermi level is 0.5967 states/eV/atom.

Record 2
This record from Alexandria via LeMat-Bulk describes a geometry-optimized YTlBr2F structure. The functional is PBE.

abc: 5.777 5.777 4.387
angles: 90.00 90.00 90.00
Sites, in units of the cell vectors:
Y 0.000 0.000 0.000
Tl 0.500 0.500 0.500
Br 0.000 0.500 0.000
Br 0.500 0.000 0.000
F 0.000 0.000 0.500

## Properties
As for the crystal system: tetragonal. Its raw formation energy is -1.797 eV/atom. The value obtained for the density of states at the Fermi level is 0.6576 states/eV/atom.

Record 3
This record from Alexandria via LeMat-Bulk describes a geometry-optimized TlZn2BrF structure. The functional is PBE.

abc: 5.055 5.875 5.055
angles: 90.00 90.00 90.00
Sites, in units of the cell vectors:
Tl 0.500 0.500 0.500
Zn 0.000 0.000 0.500
Zn 0.500 0.000 0.000
Br 0.000 0.000 0.000
F 0.000 0.500 0.000

## Properties
As for the crystal system: tetragonal. Its raw formation energy is -0.087 eV/atom. The value obtained for the density of states at the Fermi level is 0.5115 states/eV/atom.

Record 4
This record from Alexandria via LeMat-Bulk describes a geometry-optimized TlZnBr2F structure. The functional is PBE.

abc: 6.007 3.703 6.007
angles: 90.00 90.00 90.00
Sites, in units of the cell vectors:
Tl 0.500 0.500 0.500
Zn 0.000 0.500 0.000
Br 0.000 0.000 0.500
Br 0.500 0.000 0.000
F 0.000 0.000 0.000

## Properties
As for the crystal system: tetragonal. Its raw formation energy is -0.834 eV/atom. The value obtained for the density of states at the Fermi level is 0.0000 states/eV/atom.

Record 5
This record from Alexandria via LeMat-Bulk describes a geometry-optimized TlZnBr2F structure. The functional is PBE.

abc: 5.450 5.450 4.031
angles: 90.00 90.00 90.00
Sites, in units of the cell vectors:
Tl 0.500 0.500 0.500
Zn 0.000 0.000 0.000
Br 0.000 0.500 0.000
Br 0.500 0.000 0.000
F 0.000 0.000 0.500

## Properties
As for the crystal system: tetragonal. Its raw formation energy is -1.201 eV/atom.

Record 6
This record from Alexandria via LeMat-Bulk describes a geometry-optimized ZrTl2Br5F structure. The functional is PBE.

abc: 7.611 7.611 7.611
angles: 91.29 119.26 119.26
Sites, in units of the cell vectors:
Zr 0.000 0.002 0.002
Tl 0.500 0.200 0.700
Tl 0.500 0.700 0.200
Br 0.491 0.253 0.253
Br 0.509 0.762 0.762
Br 0.000 0.762 0.253
Br 0.000 0.253 0.762
Br 0.000 0.252 0.252
F 0.000 0.817 0.817

## Properties
As for the crystal system: tetragonal. Its raw formation energy is -1.453 eV/atom. The value obtained for the density of states at the Fermi level is 0.0000 states/eV/atom.

Record 7
This record from Alexandria via LeMat-Bulk describes a geometry-optimized ZrTl2Br4F2 structure. The functional is PBE.

abc: 5.967 7.170 7.170
angles: 65.48 79.00 79.00
Sites, in units of the cell vectors:
Zr 0.500 0.000 0.000
Tl 0.204 0.690 0.690
Tl 0.796 0.310 0.310
Br 0.303 0.652 0.148
Br 0.697 0.852 0.348
Br 0.697 0.348 0.852
Br 0.303 0.148 0.652
F 0.230 0.134 0.134
F 0.770 0.866 0.866

## Properties
As for the crystal system: monoclinic. Its raw formation energy is -1.748 eV/atom. The value obtained for the density of states at the Fermi level is 0.0000 states/eV/atom.

Record 8
This record from Alexandria via LeMat-Bulk describes a geometry-optimized ZrTl2Br2F4 structure. The functional is PBE.

abc: 5.463 7.402 7.402
angles: 50.17 92.84 92.84
Sites, in units of the cell vectors:
Zr 0.500 0.000 0.000
Tl 0.113 0.634 0.634
Tl 0.887 0.366 0.366
Br 0.337 0.188 0.188
Br 0.663 0.812 0.812
F 0.258 0.727 0.194
F 0.742 0.806 0.273
F 0.742 0.273 0.806
F 0.258 0.194 0.727

## Properties
As for the crystal system: monoclinic. Its raw formation energy is -2.331 eV/atom. The value obtained for the density of states at the Fermi level is 0.0000 states/eV/atom.

Q: What is the formula in the first record?
A: YTlBrF2

Please write out number 8 again, unchanged.
This record from Alexandria via LeMat-Bulk describes a geometry-optimized ZrTl2Br2F4 structure. The functional is PBE.

abc: 5.463 7.402 7.402
angles: 50.17 92.84 92.84
Sites, in units of the cell vectors:
Zr 0.500 0.000 0.000
Tl 0.113 0.634 0.634
Tl 0.887 0.366 0.366
Br 0.337 0.188 0.188
Br 0.663 0.812 0.812
F 0.258 0.727 0.194
F 0.742 0.806 0.273
F 0.742 0.273 0.806
F 0.258 0.194 0.727

## Properties
As for the crystal system: monoclinic. Its raw formation energy is -2.331 eV/atom. The value obtained for the density of states at the Fermi level is 0.0000 states/eV/atom.

Q: Which formula does entry 5 have?
A: TlZnBr2F

Q: The highest raw formation energy belongs to which entry?
A: TlZn2BrF